Al4GaAg6 | PBE | relaxed

Calculated values
Energy of formation ... 103 meV per atom

abc: 5.3714 5.3714 14.0856
angles: 90.00 90.00 90.00
Closest atoms and distances in Å follow each position.
Space group I-42m (No. 121)
Unique sites:
Al 0.1913 0.1913 0.3562  7 Ag 2.69-2.82, 1 Al 2.91
Ga 0.0000 0.0000 0.0000  8 Ag 2.69-2.79
Ag 0.0000 0.5000 0.0000  2 Ga 2.69, 4 Al 2.81
Ag 0.2034 0.2034 0.1652  5 Al 2.69-2.82, 1 Ga 2.79